Record 1
Here is an optimized crystal structure of BaLiPb2Au from Alexandria via LeMat-Bulk. Energies are from PBE.

Unit cell a=5.2796 b=5.2796 c=5.0918 alpha=90.00 beta=90.00 gamma=90.00
Closest atoms and distances in Å follow each position.
Space group P4/mmm (No. 123)
One atom of each set of equivalent atoms:
Ba 0.0000 0.0000 0.0000 (multiplicity 1)  8 Pb 3.67, 4 Au 3.73
Li 0.5000 0.5000 0.5000 (multiplicity 1)  2 Au 2.55, 4 Pb 2.64
Pb 0.0000 0.5000 0.5000 (multiplicity 2)  2 Li 2.64
Au 0.5000 0.5000 0.0000 (multiplicity 1)  2 Li 2.55

Output
For the size of the total moment, the calculation gives 0.00 μB per cell. The value obtained for the formation enthalpy at 0 K is -25.6 kJ per mole of atoms. The uncorrected energy is -15.860 eV per cell. As for the crystal system: tetragonal.


Record 2
Here is an optimized crystal structure of BaLiPbAu2 from Alexandria via LeMat-Bulk. Energies are from PBE.

Unit cell a=4.5157 b=4.5157 c=13.1112 alpha=90.00 beta=90.00 gamma=90.00
Closest atoms and distances in Å follow each position.
Space group I-4m2 (No. 119)
One atom of each set of equivalent atoms:
Ba 0.0000 0.0000 0.0000 (multiplicity 2)  8 Au 3.49
Li 0.0000 0.5000 0.7500 (multiplicity 2)  4 Au 2.93, 4 Pb 3.19
Pb 0.0000 0.5000 0.2500 (multiplicity 2)  4 Au 2.93, 4 Li 3.19
Au 0.0000 0.0000 0.3920 (multiplicity 4)  1 Au 2.83, 2 Pb 2.93, 2 Li 2.93

Output
For the size of the total moment, the calculation gives 0.00 μB per cell. The value obtained for the formation enthalpy at 0 K is -52.9 kJ per mole of atoms. The uncorrected energy is -33.681 eV per cell. As for the crystal system: tetragonal.


Record 3
Here is an optimized crystal structure of Ba2LiPbAu from Alexandria via LeMat-Bulk. Energies are from PBE.

Unit cell a=6.3279 b=6.3279 c=4.8803 alpha=90.00 beta=90.00 gamma=90.00
Closest atoms and distances in Å follow each position.
Space group P4/mmm (No. 123)
One atom of each set of equivalent atoms:
Ba 0.0000 0.5000 0.0000 (multiplicity 2)  2 Au 3.16
Li 0.0000 0.0000 0.5000 (multiplicity 1)  2 Au 2.44
Pb 0.5000 0.5000 0.5000 (multiplicity 1)  8 Ba 4.00, 4 Li 4.47
Au 0.0000 0.0000 0.0000 (multiplicity 1)  2 Li 2.44

Output
For the size of the total moment, the calculation gives 0.00 μB per cell. The value obtained for the formation enthalpy at 0 K is -37.4 kJ per mole of atoms. The uncorrected energy is -14.682 eV per cell. As for the crystal system: tetragonal.